Entry 1:
This record from Alexandria via LeMat-Bulk describes a relaxed structure of Sr2PuHg8. The functional is PBE-GGA.

Lattice parameters (Å, degrees): 16.1198 5.3020 7.6178 90.00 112.13 90.00
Space group C2/m (No. 12)
Symmetry-distinct sites (fractional):
Sr 0.2100 0.0000 0.1538
Pu 0.0000 0.5000 0.5000
Hg 0.0101 0.0000 0.2215
Hg 0.0913 0.5000 0.9474
Hg 0.1491 0.0000 0.6379
Hg 0.1652 0.5000 0.3818

* ΔH_f (0 K): -3.30 eV/f.u.
* total magnetization: 11.83 μB/cell

Entry 2:
This record from Alexandria via LeMat-Bulk describes a relaxed structure of BeAg4Cl6. The functional is PBE-GGA.

Lattice parameters (Å, degrees): 12.7458 7.2587 12.8085 90.00 110.73 90.00
Space group Cc (No. 9)
Symmetry-distinct sites (fractional):
Be 0.0000 0.2345 0.0000
Ag 0.0626 0.2934 0.5875
Ag 0.2510 0.3849 0.9372
Ag 0.2728 0.1073 0.2485
Ag 0.4301 0.4279 0.7447
Cl 0.0471 0.4613 0.9316
Cl 0.0612 0.0041 0.9526
Cl 0.0657 0.2603 0.1698
Cl 0.2535 0.2487 0.7508
Cl 0.3301 0.2652 0.4482
Cl 0.3797 0.2634 0.1309

* uncorrected formation energy: -69.1 kJ per mole of atoms
* total magnetization: 0.00 μB/cell

Entry 3:
This record from Alexandria via LeMat-Bulk describes a relaxed structure of BeWSe2N. The functional is PBE-GGA.

Lattice parameters (Å, degrees): 4.8261 4.8261 3.0779 90.00 90.00 90.00
Space group P4/mmm (No. 123)
Symmetry-distinct sites (fractional):
Be 0.0000 0.0000 0.0000
W 0.5000 0.5000 0.5000
Se 0.0000 0.5000 0.0000
N 0.0000 0.0000 0.5000

* uncorrected formation energy: 75.5 kJ per mole of atoms
* total magnetization: 1.04 μB/cell
* excess energy over the best structure of this formula in the dataset: 215 meV per atom

Entry 4:
This record from Alexandria via LeMat-Bulk describes a relaxed structure of KTm2IrO8. The functional is PBE-GGA.

Lattice parameters (Å, degrees): 4.0356 5.2896 7.0979 89.31 75.28 89.10
Space group P-1 (No. 2)
Symmetry-distinct sites (fractional):
K 0.0000 0.0000 0.0000
Tm 0.3831 0.5179 0.2863
Ir 0.0000 0.0000 0.5000
O 0.1822 0.4928 0.0033
O 0.1878 0.3231 0.5820
O 0.2038 0.7831 0.6473
O 0.3609 0.9414 0.2676

* uncorrected formation energy: -175.4 kJ per mole of atoms
* total magnetization: 0.36 μB/cell

Entry 5:
This record from Alexandria via LeMat-Bulk describes a relaxed structure of MgIrPd2. The functional is PBE-GGA.

Lattice parameters (Å, degrees): 3.8378 3.8378 18.2851 90.00 90.00 90.00
Space group I-42d (No. 122)
Symmetry-distinct sites (fractional):
Mg 0.0000 0.0000 0.0000
Ir 0.0000 0.0000 0.5000
Pd 0.2422 0.2500 0.6250

* ΔH_f (0 K): 0.56 eV/f.u.
* total magnetization: 0.00 μB/cell

Entry 6:
This record from Alexandria via LeMat-Bulk describes a relaxed structure of PuMg2Sc8. The functional is PBE-GGA.

Lattice parameters (Å, degrees): 16.4434 4.6028 7.2987 90.00 106.08 90.00
Space group C2/m (No. 12)
Symmetry-distinct sites (fractional):
Pu 0.0000 0.0000 0.0000
Mg 0.2279 0.5000 0.6362
Sc 0.0474 0.5000 0.7306
Sc 0.0881 0.0000 0.4484
Sc 0.1346 0.5000 0.1850
Sc 0.1797 0.0000 0.9155

* ΔH_f (0 K): 0.32 eV/f.u.
* total magnetization: 10.75 μB/cell

Entry 7:
This record from Alexandria via LeMat-Bulk describes a relaxed structure of Hf2Be15Cu2. The functional is PBE-GGA.

Lattice parameters (Å, degrees): 7.5929 7.5929 11.0838 90.00 90.00 120.00
Space group R-3m (No. 166, hexagonal axes)
Symmetry-distinct sites (fractional):
Hf 0.0000 0.0000 0.1549
Be 0.0000 0.2884 0.5000
Be 0.0000 0.5000 0.0000
Be 0.0033 0.5017 0.6574
Cu 0.0000 0.0000 0.3941

* ΔH_f (0 K): -4.36 eV/f.u.
* total magnetization: 0.00 μB/cell

Entry 8:
This record from Alexandria via LeMat-Bulk describes a relaxed structure of LiNpBi2. The functional is PBE-GGA.

Lattice parameters (Å, degrees): 4.5457 4.5457 20.3600 90.00 90.00 120.00
Space group R3m (No. 160, hexagonal axes)
Symmetry-distinct sites (fractional):
Li 0.0000 0.0000 0.0000
Np 0.0000 0.0000 0.1771
Bi 0.0000 0.0000 0.5971
Bi 0.0000 0.0000 0.7542

* ΔH_f (0 K): 0.06 eV/f.u.
* total magnetization: 12.12 μB/cell
* excess energy over the best structure of this formula in the dataset: 172 meV per atom

Entry 9:
This record from Alexandria via LeMat-Bulk describes a relaxed structure of MgMnBeW2. The functional is PBE-GGA.

Lattice parameters (Å, degrees): 4.5801 4.5801 4.1191 90.00 90.00 90.00
Space group P4/mmm (No. 123)
Symmetry-distinct sites (fractional):
Mg 0.0000 0.0000 0.0000
Mn 0.0000 0.0000 0.5000
Be 0.5000 0.5000 0.5000
W 0.0000 0.5000 0.0000

* ΔH_f (0 K): 13.14 eV/f.u.
* total magnetization: 0.04 μB/cell

Entry 10:
This record from Alexandria via LeMat-Bulk describes a relaxed structure of KZnCl2. The functional is PBE-GGA.

Lattice parameters (Å, degrees): 7.5034 7.5034 7.5034 90.00 90.00 90.00
Space group F-43m (No. 216)
Symmetry-distinct sites (fractional):
K 0.0000 0.0000 0.0000
Zn 0.2500 0.2500 0.2500
Cl 0.0000 0.0000 0.5000
Cl 0.2500 0.2500 0.7500

* uncorrected formation energy: -53.6 kJ per mole of atoms
* total magnetization: 3.57 μB/cell
* excess energy over the best structure of this formula in the dataset: 573 meV per atom

Entry 11:
This record from Alexandria via LeMat-Bulk describes a relaxed structure of Ce4OsSeI2. The functional is PBE-GGA.

Lattice parameters (Å, degrees): 7.5302 4.1395 7.9768 90.00 106.80 90.00
Space group P2/m (No. 10)
Symmetry-distinct sites (fractional):
Ce 0.2113 0.0000 0.1912
Ce 0.2498 0.5000 0.7966
Os 0.0000 0.5000 0.0000
Se 0.5000 0.0000 0.0000
I 0.0000 0.0000 0.5000
I 0.5000 0.5000 0.5000

* uncorrected formation energy: -92.2 kJ per mole of atoms
* total magnetization: 3.69 μB/cell

Entry 12:
This record from Alexandria via LeMat-Bulk describes a relaxed structure of BaMg6B. The functional is PBE-GGA.

Lattice parameters (Å, degrees): 3.7356 6.2938 17.2845 90.00 90.00 90.00
Space group Amm2 (No. 38)
Symmetry-distinct sites (fractional):
Ba 0.0000 0.0000 0.0000
Mg 0.0000 0.0000 0.5733
Mg 0.0000 0.2350 0.8150
Mg 0.5000 0.0000 0.4280
Mg 0.5000 0.2476 0.1812
B 0.5000 0.0000 0.8000

* ΔH_f (0 K): 2.16 eV/f.u.
* total magnetization: 0.00 μB/cell
* excess energy over the best structure of this formula in the dataset: 0 meV per atom

Number 1: total DFT energy (no corrections) -2.13 eV per atom. Number 2: total DFT energy (no corrections) -3.10 eV per atom. Number 3: total DFT energy (no corrections) -5.61 eV per atom. Number 4: total DFT energy (no corrections) -6.70 eV per atom. Number 5: total DFT energy (no corrections) -5.07 eV per atom. Number 6: total DFT energy (no corrections) -6.17 eV per atom. Number 7: total DFT energy (no corrections) -4.65 eV per atom. Number 8: total DFT energy (no corrections) -5.64 eV per atom. Number 9: total DFT energy (no corrections) -5.45 eV per atom. Number 10: total DFT energy (no corrections) -2.07 eV per atom. Number 11: total DFT energy (no corrections) -6.15 eV per atom. Number 12: total DFT energy (no corrections) -2.00 eV per atom.